DFT (GGA-PBE) results for an optimized crystal structure of Rb2MgNpO6.

Output
E_form (uncorrected), meV/atom: -2172
Magnetic moment, μB/atom: 0.11
Space-group type: No. 225

a b c (Å): 5.959 5.959 8.428
angles (deg): 90.00 90.00 90.00
Fractional coordinates of all 20 atoms:
O: 0.500 0.250 0.740
O: 0.760 0.991 0.000
O: 0.740 0.490 0.500
O: 0.740 0.009 0.500
O: 0.240 0.510 0.000
O: 0.760 0.510 0.000
O: 0.260 0.490 0.500
O: 0.500 0.250 0.260
O: 0.260 0.009 0.500
O: 0.000 0.750 0.240
O: 0.000 0.750 0.760
O: 0.240 0.991 0.000
Np: 0.000 0.750 0.000
Np: 0.500 0.250 0.500
Rb: 0.500 0.750 0.750
Rb: 0.000 0.250 0.250
Rb: 0.000 0.250 0.750
Rb: 0.500 0.750 0.250
Mg: 0.500 0.250 0.000
Mg: 0.000 0.750 0.500